1.
The following is a DFT calculation (meta-GGA SCAN) of a PBEsol-optimized structure of ErFe4Cu3O12. Values from VASP.

Values from the calculation:
As for the space-group type: Im-3, No. 204. The spin magnetization is 4.00 μB/f.u. The uncorrected formation energy is -37.52 kcal/mol of atoms.

Cell and atoms, written as Quantum ESPRESSO input:
```
&SYSTEM
  ibrav = 0, nat = 20, ntyp = 4
/
ATOMIC_SPECIES
Er 167.26 Er.upf
Fe 55.84 Fe.upf
Cu 63.55 Cu.upf
O 16.00 O.upf
ATOMIC_POSITIONS crystal
Er 0.000 0.000 0.000
Fe 0.000 0.000 0.500
Fe 0.000 0.500 0.000
Fe 0.500 0.000 0.000
Fe 0.500 0.500 0.500
Cu 0.000 0.500 0.500
Cu 0.500 0.000 0.500
Cu 0.500 0.500 0.000
O 0.123 0.300 0.824
O 0.176 0.476 0.300
O 0.176 0.877 0.700
O 0.300 0.176 0.476
O 0.300 0.824 0.123
O 0.476 0.300 0.176
O 0.524 0.700 0.824
O 0.700 0.176 0.877
O 0.700 0.824 0.524
O 0.824 0.123 0.300
O 0.824 0.524 0.700
O 0.877 0.700 0.176
CELL_PARAMETERS angstrom
-3.543 3.543 3.543
3.543 -3.543 3.543
3.543 3.543 -3.543
```



2.
The following is a DFT calculation (meta-GGA SCAN) of a PBEsol-optimized structure of Er2Ga3Cu. Values from VASP.

Values from the calculation:
The calculation puts the formation enthalpy at 0 K at -16.31 kcal/mol of atoms. As for the space-group type: P3m1, No. 156. The spin magnetization is 0.00 μB/f.u.

Cell and atoms, written as Quantum ESPRESSO input:
```
&SYSTEM
  ibrav = 0, nat = 6, ntyp = 3
/
ATOMIC_SPECIES
Er 167.26 Er.upf
Ga 69.72 Ga.upf
Cu 63.55 Cu.upf
ATOMIC_POSITIONS crystal
Er 0.000 0.000 0.000
Er 0.000 0.000 0.471
Ga 0.333 0.667 0.782
Ga 0.667 0.333 0.253
Ga 0.667 0.333 0.689
Cu 0.333 0.667 0.197
CELL_PARAMETERS angstrom
4.288 0.000 0.000
-2.144 3.714 0.000
0.000 0.000 6.994
```



3.
The following is a DFT calculation (meta-GGA SCAN) of a PBEsol-optimized structure of Er2Ga6Cu11. Values from VASP.

Values from the calculation:
The calculation puts the formation enthalpy at 0 K at -7.12 kcal/mol of atoms. As for the space-group type: R-3m, No. 166. The spin magnetization is 0.00 μB/f.u.

Cell and atoms, written as Quantum ESPRESSO input:
```
&SYSTEM
  ibrav = 0, nat = 19, ntyp = 3
/
ATOMIC_SPECIES
Er 167.26 Er.upf
Ga 69.72 Ga.upf
Cu 63.55 Cu.upf
ATOMIC_POSITIONS crystal
Er 0.159 0.159 0.159
Er 0.841 0.841 0.841
Ga 0.157 0.157 0.642
Ga 0.157 0.642 0.157
Ga 0.358 0.843 0.843
Ga 0.642 0.157 0.157
Ga 0.843 0.358 0.843
Ga 0.843 0.843 0.358
Cu 0.000 0.500 0.500
Cu 0.204 0.500 0.796
Cu 0.204 0.796 0.500
Cu 0.401 0.401 0.401
Cu 0.500 0.000 0.500
Cu 0.500 0.204 0.796
Cu 0.500 0.500 0.000
Cu 0.500 0.796 0.204
Cu 0.599 0.599 0.599
Cu 0.796 0.204 0.500
Cu 0.796 0.500 0.204
CELL_PARAMETERS angstrom
4.294 2.479 4.139
-4.294 2.479 4.139
0.000 -4.959 4.139
```



4.
The following is a DFT calculation (meta-GGA SCAN) of a PBEsol-optimized structure of ErGa2Cu3. Values from VASP.

Values from the calculation:
The calculation puts the formation enthalpy at 0 K at -10.45 kcal/mol of atoms. As for the space-group type: Cmmm, No. 65. The spin magnetization is 0.00 μB/f.u.

Cell and atoms, written as Quantum ESPRESSO input:
```
&SYSTEM
  ibrav = 0, nat = 6, ntyp = 3
/
ATOMIC_SPECIES
Er 167.26 Er.upf
Ga 69.72 Ga.upf
Cu 63.55 Cu.upf
ATOMIC_POSITIONS crystal
Er 0.000 0.000 0.000
Ga 0.000 0.500 0.500
Ga 0.500 0.000 0.500
Cu 0.338 0.662 0.000
Cu 0.500 0.500 0.500
Cu 0.662 0.338 0.000
CELL_PARAMETERS angstrom
2.563 -4.304 0.000
2.563 4.304 0.000
0.000 0.000 4.063
```



Question: Look up the spin magnetization of the third one.
Answer: 0.00 μB/f.u.